First-principles (PBE) data for a relaxed MnCuAu2 crystal, as listed in Alexandria.

Results
* DFT total energy: -20.01 eV for the cell shown

abc: 4.947 4.947 4.946
angles: 133.16 133.15 68.43
Fractional coordinates of all 4 atoms:
Mn  0.250  0.750  0.500
Au  0.000  0.000  0.000
Au  0.750  0.250  0.500
Cu  0.500  0.500  0.000

First-principles (PBE) data for a relaxed MnCu2Au crystal, as listed in Alexandria.

Results
* DFT total energy: -20.41 eV for the cell shown

abc: 4.662 4.662 4.569
angles: 77.71 77.71 36.20
Fractional coordinates of all 4 atoms:
Mn  0.250  0.250  0.250
Au  0.750  0.750  0.750
Cu  0.996  0.996  0.014
Cu  0.504  0.504  0.486

First-principles (PBE) data for a relaxed MnCu2Au crystal, as listed in Alexandria.

Results
* DFT total energy: -20.17 eV for the cell shown

abc: 4.457 2.717 4.785
angles: 86.47 90.00 90.00
Fractional coordinates of all 4 atoms:
Au  0.500  0.750  0.750
Cu  0.000  0.989  0.014
Cu  0.000  0.511  0.486
Mn  0.500  0.250  0.250

First-principles (PBE) data for a relaxed MnCu5Au2 crystal, as listed in Alexandria.

Results
* energy relative to the lowest polymorph listed for this composition: 0 meV/atom
* DFT total energy: -144.23 eV for the cell shown

abc: 4.682 10.834 10.709
angles: 90.00 55.30 90.00
Fractional coordinates of all 32 atoms:
Mn  0.749  0.694  0.875
Mn  0.251  0.306  0.125
Mn  0.249  0.806  0.375
Mn  0.751  0.194  0.625
Cu  0.251  0.805  0.874
Cu  0.749  0.195  0.126
Cu  0.751  0.695  0.374
Cu  0.249  0.305  0.626
Cu  0.251  0.564  0.375
Cu  0.749  0.436  0.625
Cu  0.751  0.936  0.875
Cu  0.249  0.064  0.125
Cu  0.255  0.816  0.625
Cu  0.745  0.184  0.375
Cu  0.755  0.684  0.125
Cu  0.245  0.316  0.875
Cu  0.746  0.685  0.625
Cu  0.254  0.315  0.375
Cu  0.246  0.815  0.125
Cu  0.754  0.185  0.875
Cu  0.252  0.065  0.625
Cu  0.748  0.935  0.375
Cu  0.752  0.435  0.125
Cu  0.248  0.565  0.875
Au  0.250  0.570  0.127
Au  0.750  0.430  0.873
Au  0.750  0.930  0.627
Au  0.250  0.070  0.373
Au  0.250  0.072  0.877
Au  0.750  0.928  0.123
Au  0.750  0.428  0.377
Au  0.250  0.572  0.623

First-principles (PBE) data for a relaxed MnCuAu2 crystal, as listed in Alexandria.

Results
* DFT total energy: -19.83 eV for the cell shown

abc: 3.251 3.251 6.016
angles: 90.00 90.00 90.00
Fractional coordinates of all 4 atoms:
Mn  0.500  0.500  0.735
Au  0.000  0.000  0.978
Au  0.500  0.500  0.277
Cu  0.000  0.000  0.509

First-principles (PBE) data for a relaxed MnCu2Au4 crystal, as listed in Alexandria.

Results
* energy relative to the lowest polymorph listed for this composition: 203 meV/atom
* DFT total energy: -28.85 eV for the cell shown

abc: 5.086 5.086 6.090
angles: 104.36 104.36 113.85
Fractional coordinates of all 7 atoms:
Mn  0.000  0.000  0.000
Cu  0.621  0.621  0.241
Cu  0.379  0.379  0.759
Au  0.750  0.250  0.500
Au  0.250  0.750  0.500
Au  0.500  0.000  0.000
Au  0.000  0.500  0.000

First-principles (PBE) data for a relaxed MnCu2Au crystal, as listed in Alexandria.

Results
* DFT total energy: -20.69 eV for the cell shown

abc: 4.689 4.689 4.689
angles: 131.58 131.54 70.93
Fractional coordinates of all 4 atoms:
Mn  0.750  0.250  0.500
Au  0.250  0.750  0.500
Cu  0.000  0.000  0.000
Cu  0.500  0.500  0.000

First-principles (PBE) data for a relaxed MnCuAu6 crystal, as listed in Alexandria.

Results
* energy relative to the lowest polymorph listed for this composition: 78 meV/atom
* DFT total energy: -32.62 eV for the cell shown

abc: 7.660 7.656 5.258
angles: 43.24 43.27 60.03
Fractional coordinates of all 8 atoms:
Mn  0.500  0.500  0.500
Cu  0.000  0.000  0.000
Au  0.056  0.434  0.760
Au  0.749  0.056  0.761
Au  0.566  0.251  0.239
Au  0.251  0.944  0.239
Au  0.944  0.566  0.240
Au  0.434  0.749  0.761

First-principles (PBE) data for a relaxed MnCuAu2 crystal, as listed in Alexandria.

Results
* DFT total energy: -37.65 eV for the cell shown

abc: 3.893 3.893 9.685
angles: 78.40 78.40 90.00
Fractional coordinates of all 8 atoms:
Mn  0.500  0.500  0.000
Mn  0.250  0.750  0.500
Au  0.630  0.125  0.250
Au  0.120  0.625  0.250
Au  0.375  0.370  0.750
Au  0.875  0.880  0.750
Cu  0.000  0.000  0.000
Cu  0.750  0.250  0.500

First-principles (PBE) data for a relaxed Mn2CuAu crystal, as listed in Alexandria.

Results
* DFT total energy: -25.28 eV for the cell shown

abc: 3.095 3.095 6.255
angles: 90.00 90.00 90.00
Fractional coordinates of all 4 atoms:
Au  0.500  0.500  0.250
Cu  0.500  0.500  0.750
Mn  0.000  0.000  0.979
Mn  0.000  0.000  0.521

First-principles (PBE) data for a relaxed Mn2CuAu crystal, as listed in Alexandria.

Results
* DFT total energy: -25.26 eV for the cell shown

abc: 3.977 3.975 3.750
angles: 90.00 90.00 90.00
Fractional coordinates of all 4 atoms:
Au  0.500  0.000  0.500
Cu  0.000  0.500  0.500
Mn  0.000  0.000  0.000
Mn  0.500  0.500  0.000

First-principles (PBE) data for a relaxed MnCu2Au crystal, as listed in Alexandria.

Results
* DFT total energy: -20.26 eV for the cell shown

abc: 4.584 4.584 2.857
angles: 90.00 90.00 107.32
Fractional coordinates of all 4 atoms:
Au  0.000  0.500  0.500
Cu  0.000  0.000  0.000
Cu  0.500  0.500  0.000
Mn  0.500  0.000  0.500